Entry 1:
Below is crystalline Sr6AsPt2I3 at its relaxed geometry, with properties calculated at the PBE level.

Summary:
Formation energy from raw total energies = -14.23 eV per formula unit

a b c (Å): 7.8302 7.8302 8.5162
angles (deg): 98.91 98.91 119.99
Last column: nearest neighbours and their distance in Å.
Fractional coordinates of all 12 atoms:
Sr 0.0971 0.4336 0.8024  2 Pt 3.05, 1 As 3.08
Sr 0.2300 0.2300 0.1979  2 Pt 3.05, 1 As 3.09
Sr 0.4336 0.0971 0.8024  2 Pt 3.05, 1 As 3.08
Sr 0.5664 0.9029 0.1976  2 Pt 3.05, 1 As 3.08
Sr 0.7700 0.7700 0.8021  2 Pt 3.05, 1 As 3.09
Sr 0.9029 0.5664 0.1976  2 Pt 3.05, 1 As 3.08
As 0.5000 0.5000 0.0000  6 Sr 3.08-3.09
Pt 0.1667 0.8333 0.0000  6 Sr 3.05
Pt 0.8333 0.1667 0.0000  6 Sr 3.05
I 0.0000 0.0000 0.5000  6 Sr 3.57-3.58
I 0.3347 0.6653 0.5000  6 Sr 3.57-3.60
I 0.6653 0.3347 0.5000  6 Sr 3.57-3.60

---

Entry 2:
Below is crystalline MnCu2Ir at its relaxed geometry, with properties calculated at the PBE level.

Summary:
Formation enthalpy at 0 K = 98 meV per atom

a b c (Å): 4.4320 4.4320 2.8180
angles (deg): 90.00 90.00 106.57
Last column: nearest neighbours and their distance in Å.
Fractional coordinates of all 4 atoms:
Mn 0.0000 0.0000 0.0000  8 Cu 2.63, 2 Ir 2.65, 2 Mn 2.82
Cu 0.0000 0.5000 0.5000  4 Mn 2.63, 4 Ir 2.63, 4 Cu 2.65-2.82
Cu 0.5000 0.0000 0.5000  4 Mn 2.63, 4 Ir 2.63, 4 Cu 2.65-2.82
Ir 0.5000 0.5000 0.0000  8 Cu 2.63, 2 Mn 2.65, 2 Ir 2.82

---

Density? In order: 5.30 11.71 g/cm³.
DFT total energy? In order: -0.13996 -0.23731 Ha/atom.
Calculated volume? In order: 35.8 13.3 A^3/atom.